Entry 1:
DFT (GGA-PBE) results for a relaxed RbSr2BiO crystal.

Lattice parameters (Å, degrees): 5.254 5.254 5.418 90.00 90.00 90.00
Fractional positions:
Rb  0.000  0.000  0.000
Sr  0.000  0.500  0.500
Sr  0.500  0.000  0.500
Bi  0.500  0.500  0.000
O  0.000  0.000  0.500

Entry 2:
DFT (GGA-PBE) results for a relaxed RbSr2BiO5 crystal.

Lattice parameters (Å, degrees): 7.017 7.017 7.017 144.24 125.76 66.68
Fractional positions:
Rb  0.000  0.000  0.000
Sr  0.279  0.779  0.500
Sr  0.721  0.221  0.500
Bi  0.500  0.500  0.000
O  0.142  0.363  0.779
O  0.416  0.637  0.779
O  0.500  0.000  0.500
O  0.584  0.363  0.221
O  0.858  0.637  0.221

Entry 3:
DFT (GGA-PBE) results for a relaxed RbSrBiO3 crystal.

Lattice parameters (Å, degrees): 7.056 7.056 9.506 110.16 110.16 36.35
Fractional positions:
Rb  0.159  0.159  0.148
Rb  0.841  0.841  0.852
Sr  0.145  0.145  0.544
Sr  0.855  0.855  0.456
Bi  0.478  0.478  0.229
Bi  0.522  0.522  0.771
O  0.010  0.010  0.707
O  0.349  0.349  0.651
O  0.365  0.365  0.334
O  0.635  0.635  0.666
O  0.651  0.651  0.349
O  0.990  0.990  0.293

Entry 4:
DFT (GGA-PBE) results for a relaxed Rb2Sr5Bi3O2 crystal.

Lattice parameters (Å, degrees): 16.048 16.048 16.048 161.64 161.64 26.07
Fractional positions:
Rb  0.208  0.208  0.000
Rb  0.792  0.792  0.000
Sr  0.000  0.000  0.000
Sr  0.091  0.591  0.500
Sr  0.409  0.909  0.500
Sr  0.591  0.091  0.500
Sr  0.909  0.409  0.500
Bi  0.334  0.334  0.000
Bi  0.500  0.500  0.000
Bi  0.666  0.666  0.000
O  0.079  0.079  0.000
O  0.921  0.921  0.000

Entry 5:
DFT (GGA-PBE) results for a relaxed Rb3Ta2BiO9 crystal.

Lattice parameters (Å, degrees): 5.852 5.852 7.174 90.00 90.00 120.00
Fractional positions:
Rb  0.000  0.000  0.000
Rb  0.333  0.667  0.664
Rb  0.667  0.333  0.336
Ta  0.333  0.667  0.160
Ta  0.667  0.333  0.840
Bi  0.000  0.000  0.500
O  0.000  0.500  0.000
O  0.173  0.345  0.324
O  0.173  0.827  0.324
O  0.345  0.173  0.676
O  0.500  0.000  0.000
O  0.500  0.500  0.000
O  0.655  0.827  0.324
O  0.827  0.173  0.676
O  0.827  0.655  0.676

Entry 6:
DFT (GGA-PBE) results for a relaxed Rb4Tb3BiO8 crystal.

Lattice parameters (Å, degrees): 7.757 7.757 7.757 54.68 54.68 54.68
Fractional positions:
Rb  0.000  0.000  0.000
Rb  0.000  0.500  0.500
Rb  0.500  0.000  0.500
Rb  0.500  0.500  0.000
Tb  0.000  0.000  0.500
Tb  0.000  0.500  0.000
Tb  0.500  0.000  0.000
Bi  0.500  0.500  0.500
O  0.216  0.733  0.733
O  0.225  0.225  0.225
O  0.267  0.267  0.784
O  0.267  0.784  0.267
O  0.733  0.216  0.733
O  0.733  0.733  0.216
O  0.775  0.775  0.775
O  0.784  0.267  0.267

Entry 7:
DFT (GGA-PBE) results for a relaxed Rb3Tb3BiO8 crystal.

Lattice parameters (Å, degrees): 7.798 7.798 7.798 53.53 53.53 53.53
Fractional positions:
Rb  0.000  0.500  0.500
Rb  0.500  0.000  0.500
Rb  0.500  0.500  0.000
Tb  0.000  0.000  0.500
Tb  0.000  0.500  0.000
Tb  0.500  0.000  0.000
Bi  0.500  0.500  0.500
O  0.223  0.223  0.223
O  0.230  0.721  0.721
O  0.279  0.279  0.770
O  0.279  0.770  0.279
O  0.721  0.230  0.721
O  0.721  0.721  0.230
O  0.770  0.279  0.279
O  0.777  0.777  0.777

Entry 8:
DFT (GGA-PBE) results for a relaxed Rb2Tb2BiO6 crystal.

Lattice parameters (Å, degrees): 6.069 6.069 7.000 98.06 98.06 119.97
Fractional positions:
Rb  0.166  0.834  0.000
Rb  0.834  0.166  0.000
Tb  0.334  0.666  0.500
Tb  0.666  0.334  0.500
Bi  0.000  0.000  0.500
O  0.050  0.388  0.670
O  0.271  0.271  0.329
O  0.388  0.050  0.670
O  0.612  0.950  0.330
O  0.729  0.729  0.671
O  0.950  0.612  0.330

Entry 9:
DFT (GGA-PBE) results for a relaxed Rb2TbBiO6 crystal.

Lattice parameters (Å, degrees): 6.242 6.242 6.242 60.00 60.00 60.00
Fractional positions:
Rb  0.250  0.250  0.250
Rb  0.750  0.750  0.750
Tb  0.000  0.000  0.000
Bi  0.500  0.500  0.500
O  0.258  0.258  0.742
O  0.258  0.742  0.258
O  0.258  0.742  0.742
O  0.742  0.258  0.258
O  0.742  0.258  0.742
O  0.742  0.742  0.258

Entry 10:
DFT (GGA-PBE) results for a relaxed Rb3TbBi2O6 crystal.

Lattice parameters (Å, degrees): 6.262 6.262 6.904 98.69 98.69 119.99
Fractional positions:
Rb  0.000  0.000  0.000
Rb  0.331  0.669  0.000
Rb  0.669  0.331  0.000
Tb  0.500  0.500  0.500
Bi  0.167  0.833  0.500
Bi  0.833  0.167  0.500
O  0.118  0.438  0.315
O  0.242  0.242  0.686
O  0.438  0.118  0.315
O  0.562  0.882  0.685
O  0.758  0.758  0.314
O  0.882  0.562  0.685

no.,total DFT energy (no corrections) (eV/f.u.)
1,-19.90
2,-50.24
3,-31.78
4,-48.24
5,-105.82
6,-98.66
7,-95.98
8,-69.52
9,-55.52
10,-66.00